Record 1
Below is Tb4Mg5Co2 after structural relaxation, with properties calculated at the PBE level.

## Properties
Density of states at the Fermi level: 8.34 states/eV per cell
Energy relative to the elements: -1.26 eV per formula unit
Uncorrected energy: -41.96 eV per cell
Spin magnetization: 0.00 Bohr magnetons per cell

Cell: 7.8910 3.5802 9.5365 Å, 90.00 94.64 90.00°
Closest atoms and distances in Å follow each position.
Atoms (fractional coordinates):
Tb 0.1692 0.0000 0.3350  2 Co 2.67
Tb 0.1991 0.0000 0.9459  4 Co 2.80-2.84
Tb 0.8009 0.0000 0.0541  4 Co 2.80-2.84
Tb 0.8308 0.0000 0.6650  2 Co 2.67
Mg 0.1744 0.5000 0.6483  1 Co 2.93, 1 Mg 3.03, 2 Tb 3.26
Mg 0.4536 0.5000 0.1682  1 Co 3.01, 3 Mg 3.16-3.35, 4 Tb 3.32-3.37
Mg 0.5000 0.5000 0.5000  4 Mg 3.03-3.16
Mg 0.5464 0.5000 0.8318  1 Co 3.01, 3 Mg 3.16-3.35, 4 Tb 3.32-3.37
Mg 0.8256 0.5000 0.3517  1 Co 2.93, 1 Mg 3.03, 2 Tb 3.26
Co 0.0709 0.5000 0.1366  6 Tb 2.67-2.84, 1 Co 2.75, 1 Mg 2.93
Co 0.9291 0.5000 0.8634  6 Tb 2.67-2.84, 1 Co 2.75, 1 Mg 2.93

=====

Record 2
Below is TbMg3Co after structural relaxation, with properties calculated at the PBE level.

## Properties
Density of states at the Fermi level: 6.69 states/eV per cell
Energy relative to the elements: -0.32 eV per formula unit
Uncorrected energy: -33.67 eV per cell
Spin magnetization: 0.00 Bohr magnetons per cell

Cell: 5.2193 5.8383 7.2103 Å, 90.00 104.21 90.00°
Closest atoms and distances in Å follow each position.
Atoms (fractional coordinates):
Tb 0.1124 0.2500 0.4124  2 Co 2.69-2.79
Tb 0.8876 0.7500 0.5876  2 Co 2.69-2.79
Mg 0.0022 0.2500 0.8908  1 Co 2.75, 2 Mg 3.04
Mg 0.4786 0.5035 0.7872  2 Co 2.66-2.71, 2 Mg 2.88-2.96
Mg 0.4786 0.9965 0.7872  2 Co 2.66-2.71, 2 Mg 2.88-2.96
Mg 0.5214 0.0035 0.2128  2 Co 2.66-2.71, 2 Mg 2.88-2.96
Mg 0.5214 0.4965 0.2128  2 Co 2.66-2.71, 2 Mg 2.88-2.96
Mg 0.9978 0.7500 0.1092  1 Co 2.75, 2 Mg 3.04
Co 0.3363 0.7500 0.4675  5 Mg 2.66-2.75, 2 Tb 2.69-2.79
Co 0.6637 0.2500 0.5325  5 Mg 2.66-2.75, 2 Tb 2.69-2.79

=====

Record 3
Below is TbMgCo after structural relaxation, with properties calculated at the PBE level.

## Properties
Density of states at the Fermi level: 3.50 states/eV per cell
Energy relative to the elements: -0.06 eV per formula unit
Uncorrected energy: -26.77 eV per cell
Spin magnetization: 0.63 Bohr magnetons per cell

Cell: 3.2694 3.2694 11.4324 Å, 90.00 90.00 90.00°
Closest atoms and distances in Å follow each position.
Atoms (fractional coordinates):
Tb 0.0000 0.0000 0.0000  4 Co 2.80, 1 Mg 3.06
Tb 0.5000 0.5000 0.5000  4 Co 2.80, 1 Mg 3.06
Mg 0.0000 0.0000 0.7324  4 Co 2.74, 1 Tb 3.06
Mg 0.5000 0.5000 0.2324  4 Co 2.74, 1 Tb 3.06
Co 0.0000 0.0000 0.3619  4 Mg 2.74, 4 Tb 2.80
Co 0.5000 0.5000 0.8619  4 Mg 2.74, 4 Tb 2.80

=====

Record 4
Below is Tb7MgCo2 after structural relaxation, with properties calculated at the PBE level.

## Properties
Density of states at the Fermi level: 9.76 states/eV per cell
Energy relative to the elements: 0.50 eV per formula unit
Uncorrected energy: -47.72 eV per cell
Spin magnetization: 0.00 Bohr magnetons per cell

Cell: 8.0840 8.0840 4.9923 Å, 90.00 90.00 112.97°
Closest atoms and distances in Å follow each position.
Atoms (fractional coordinates):
Tb 0.0000 0.0000 0.0000  2 Co 2.74
Tb 0.1809 0.4480 0.0000  2 Co 2.75-2.96
Tb 0.2044 0.7956 0.5000  2 Co 2.50
Tb 0.4480 0.1809 0.0000  2 Co 2.75-2.96
Tb 0.5520 0.8191 0.0000  2 Co 2.75-2.96
Tb 0.7956 0.2044 0.5000  2 Co 2.50
Tb 0.8191 0.5520 0.0000  2 Co 2.75-2.96
Mg 0.5000 0.5000 0.5000  8 Tb 3.50
Co 0.2035 0.7965 0.0000  5 Tb 2.50-2.75
Co 0.7965 0.2035 0.0000  5 Tb 2.50-2.75

=====

Record 5
Below is Tb2MgCo after structural relaxation, with properties calculated at the PBE level.

## Properties
Density of states at the Fermi level: 6.98 states/eV per cell
Energy relative to the lowest polymorph listed for this composition: 252 meV per atom
Energy relative to the elements: 0.52 eV per formula unit
Uncorrected energy: -52.33 eV per cell
Spin magnetization: 0.00 Bohr magnetons per cell

Cell: 3.7250 3.7250 29.6806 Å, 90.00 90.00 120.00°
Closest atoms and distances in Å follow each position.
Atoms (fractional coordinates):
Tb 0.0000 0.0000 0.1159  3 Co 2.63
Tb 0.0000 0.0000 0.8841  3 Co 2.63
Tb 0.3333 0.6667 0.5508  3 Co 2.63
Tb 0.3333 0.6667 0.7826  3 Co 2.63
Tb 0.6667 0.3333 0.2174  3 Co 2.63
Tb 0.6667 0.3333 0.4492  3 Co 2.63
Mg 0.0000 0.0000 0.0000  2 Tb 3.44, 6 Mg 3.72
Mg 0.3333 0.6667 0.6667  2 Tb 3.44, 6 Mg 3.72
Mg 0.6667 0.3333 0.3333  2 Tb 3.44, 6 Mg 3.72
Co 0.0000 0.0000 0.5000  6 Tb 2.63
Co 0.3333 0.6667 0.1667  6 Tb 2.63
Co 0.6667 0.3333 0.8333  6 Tb 2.63

=====

Record 6
Below is Tb3MgCo8 after structural relaxation, with properties calculated at the PBE level.

## Properties
Density of states at the Fermi level: 16.41 states/eV per cell
Energy relative to the elements: -1.92 eV per formula unit
Uncorrected energy: -74.25 eV per cell
Spin magnetization: 8.46 Bohr magnetons per cell

Cell: 8.7253 8.7253 8.7253 Å, 33.44 33.44 33.44°
Closest atoms and distances in Å follow each position.
Atoms (fractional coordinates):
Tb 0.0000 0.0000 0.0000  12 Co 2.95-3.00, 4 Tb 3.11-3.14
Tb 0.1272 0.1272 0.1272  12 Co 2.86-2.96, 3 Mg 3.04, 1 Tb 3.14
Tb 0.6205 0.6205 0.6205  12 Co 2.92-3.07, 1 Mg 3.02, 3 Tb 3.11
Mg 0.4982 0.4982 0.4982  12 Co 2.89-2.94, 4 Tb 3.02-3.04
Co 0.0612 0.0612 0.5587  6 Co 2.48-2.54
Co 0.0612 0.5587 0.0612  6 Co 2.48-2.54
Co 0.0662 0.5619 0.5619  6 Co 2.49-2.54
Co 0.3117 0.3117 0.3117  6 Co 2.54
Co 0.5587 0.0612 0.0612  6 Co 2.48-2.54
Co 0.5619 0.0662 0.5619  6 Co 2.49-2.54
Co 0.5619 0.5619 0.0662  6 Co 2.49-2.54
Co 0.8124 0.8124 0.8124  6 Co 2.48-2.50

=====

> The highest energy relative to the elements belongs to which entry?

Tb2MgCo

=====

> Which value of density of states at the Fermi level does entry 2 give?

6.69 states/eV per cell

=====

> Which value of density of states at the Fermi level does entry 3 give?

3.50 states/eV per cell